# 1
First-principles (PBE-GGA) data for Zr2IrCl after structural relaxation, as listed in the Alexandria database.

Lattice parameters (Å, degrees): 4.7766 4.7766 4.7766 60.00 60.00 60.00
Last column: nearest neighbours and their distance in Å.
Sites, in units of the cell vectors:
Cl: 0.5000 0.5000 0.5000  4 Ir 2.93, 4 Zr 2.93
Ir: 0.2500 0.2500 0.2500  4 Zr 2.93, 4 Cl 2.93
Zr: 0.0000 0.0000 0.0000  4 Zr 2.93, 4 Ir 2.93
Zr: 0.7500 0.7500 0.7500  4 Zr 2.93, 4 Cl 2.93

ΔE_f (raw), kJ/mol of formula units: 121
Magnetization, μB per cell: 1.77
ΔE to the lowest computed polymorph, eV/atom: 1.1241
DFT total energy, Ry per atom: -0.488

# 2
First-principles (PBE-GGA) data for LiB3Sb after structural relaxation, as listed in the Alexandria database.

Lattice parameters (Å, degrees): 3.9776 3.9776 3.9776 90.00 90.00 90.00
Last column: nearest neighbours and their distance in Å.
Sites, in units of the cell vectors:
Sb: 0.5000 0.5000 0.5000  12 B 2.81
B: 0.0000 0.5000 0.0000  2 Li 1.99
B: 0.0000 0.0000 0.5000  2 Li 1.99
B: 0.5000 0.0000 0.0000  2 Li 1.99
Li: 0.0000 0.0000 0.0000  6 B 1.99

ΔE_f (raw), kJ/mol of formula units: 907
Magnetization, μB per cell: 0.00
ΔE to the lowest computed polymorph, eV/atom: 0.0000
DFT total energy, Ry per atom: -0.245

# 3
First-principles (PBE-GGA) data for SrRhPb2 after structural relaxation, as listed in the Alexandria database.

Lattice parameters (Å, degrees): 6.2489 6.2489 6.2489 146.73 125.93 64.98
Last column: nearest neighbours and their distance in Å.
Sites, in units of the cell vectors:
Pb: 0.9553 0.9553 0.0000  2 Rh 2.81
Pb: 0.5447 0.5447 0.0000  2 Rh 2.81
Rh: 0.7500 0.2500 0.5000  4 Pb 2.81
Sr: 0.2500 0.7500 0.5000  4 Rh 3.36, 8 Pb 3.57-3.58, 2 Sr 3.58

Energy relative to the elements, eV per atom: -0.26
Magnetization, μB per cell: 0.00
DFT total energy, Ry per atom: -0.321

# 4
First-principles (PBE-GGA) data for ZnFe2Pt after structural relaxation, as listed in the Alexandria database.

Lattice parameters (Å, degrees): 2.7080 2.7080 7.3676 90.00 90.00 90.00
Last column: nearest neighbours and their distance in Å.
Sites, in units of the cell vectors:
Fe: 0.0000 0.0000 0.0030  8 Fe 2.61-2.71, 4 Zn 2.63
Fe: 0.5000 0.5000 0.2444  8 Fe 2.61-2.71, 4 Pt 2.66
Pt: 0.0000 0.0000 0.4952  4 Fe 2.66, 4 Pt 2.71, 4 Zn 2.72
Zn: 0.5000 0.5000 0.7574  4 Fe 2.63, 4 Zn 2.71, 4 Pt 2.72

Energy relative to the elements, eV per atom: -0.12
Magnetization, μB per cell: 5.48
DFT total energy, Ry per atom: -0.454

Please write out number 2 again, unchanged.
First-principles (PBE-GGA) data for LiB3Sb after structural relaxation, as listed in the Alexandria database.

Lattice parameters (Å, degrees): 3.9776 3.9776 3.9776 90.00 90.00 90.00
Last column: nearest neighbours and their distance in Å.
Sites, in units of the cell vectors:
Sb: 0.5000 0.5000 0.5000  12 B 2.81
B: 0.0000 0.5000 0.0000  2 Li 1.99
B: 0.0000 0.0000 0.5000  2 Li 1.99
B: 0.5000 0.0000 0.0000  2 Li 1.99
Li: 0.0000 0.0000 0.0000  6 B 1.99

ΔE_f (raw), kJ/mol of formula units: 907
Magnetization, μB per cell: 0.00
ΔE to the lowest computed polymorph, eV/atom: 0.0000
DFT total energy, Ry per atom: -0.245

Q: What is the magnetization in the third record?
A: 0.00 μB per cell

Q: Which of these has the highest DFT total energy?
A: LiB3Sb